PBE-GGA AlPbSeN2, optimized geometry; formation energy from raw total energies = 578 meV/atom; offset from the most stable computed form = 0.0 meV per atom; DOS(E_F) = 2.2 states/eV per cell; size of the total moment = 2.825 μB/f.u.; density = 6.6 g/cm3; E = -24.7 eV/cell
1.0
-0.1528 1.4101 3.7904
-1.9552 -3.3462 1.1660
4.5839 -2.3141 1.0456
N Al Pb Se
2 1 1 1
direct
0.5000 0.0000 0.0000 N
0.0000 0.5000 0.0000 N
0.0000 0.0000 0.0000 Al
0.5000 0.5000 0.5000 Pb
0.0000 0.0000 0.5000 Se